Record 1
Density functional theory data (GGA-PBE) for LiNd5Pb4 after structural relaxation.

- space group = C2/m, No. 12

Unit cell a=4.5773 b=7.9105 c=9.2538 alpha=83.71 beta=104.32 gamma=90.00
Closest atoms and distances in Å follow each position.
Atoms (fractional coordinates):
Li (0.5000, 0.0000, 0.0000)  6 Pb 3.03-3.34
Nd (0.8713, 0.1979, 0.7426)  4 Pb 3.18-3.42, 2 Li 3.49
Nd (0.2137, 0.3460, 0.4275)  4 Pb 3.27-3.59
Nd (0.1287, 0.8021, 0.2574)  4 Pb 3.18-3.42, 2 Li 3.49
Nd (0.5000, 0.5000, 0.0000)  4 Pb 3.26
Nd (0.7863, 0.6540, 0.5725)  4 Pb 3.27-3.59
Pb (0.3195, 0.9323, 0.6390)  5 Nd 3.28-3.59, 1 Li 3.34, 4 Pb 3.41-3.46
Pb (0.9525, 0.7856, 0.9049)  2 Li 3.03, 4 Nd 3.18-3.27
Pb (0.0475, 0.2144, 0.0951)  2 Li 3.03, 4 Nd 3.18-3.27
Pb (0.6805, 0.0677, 0.3610)  5 Nd 3.28-3.59, 1 Li 3.34, 4 Pb 3.41-3.46

---

Record 2
Density functional theory data (GGA-PBE) for Li2Nd5Pb4 after structural relaxation.

- space group = C2/m, No. 12

Unit cell a=5.2054 b=7.6470 c=12.0825 alpha=130.32 beta=102.44 gamma=90.00
Closest atoms and distances in Å follow each position.
Atoms (fractional coordinates):
Li (0.4452, 0.4912, 0.8904)  1 Li 2.50, 1 Pb 2.78
Li (0.5548, 0.5088, 0.1096)  1 Li 2.50, 1 Pb 2.78
Nd (0.1567, 0.3225, 0.3134)  5 Pb 3.22-3.54
Nd (0.8433, 0.6775, 0.6866)  5 Pb 3.22-3.54
Nd (0.8398, 0.1849, 0.6795)  5 Pb 3.22-3.41, 2 Li 3.28
Nd (0.1602, 0.8151, 0.3205)  5 Pb 3.22-3.41, 2 Li 3.28
Nd (0.5000, 0.0000, 0.0000)  2 Li 3.18, 4 Pb 3.31
Pb (0.6955, 0.6329, 0.3910)  1 Li 2.78
Pb (0.3045, 0.3671, 0.6090)  1 Li 2.78
Pb (0.9925, 0.2520, 0.9850)  2 Li 2.99, 4 Nd 3.29-3.35
Pb (0.0075, 0.7480, 0.0150)  2 Li 2.99, 4 Nd 3.29-3.35

---

Record 3
Density functional theory data (GGA-PBE) for Li3NdPb3 after structural relaxation.

- space group = Pm-3n, No. 223

Unit cell a=7.2711 b=7.2711 c=7.2711 alpha=90.00 beta=90.00 gamma=90.00
Closest atoms and distances in Å follow each position.
Atoms (fractional coordinates):
Nd (0.0000, 0.0000, 0.0000)  12 Pb 4.06, 12 Li 4.06
Nd (0.5000, 0.5000, 0.5000)  12 Pb 4.06, 12 Li 4.06
Li (0.2500, 0.5000, 0.0000)  4 Pb 2.57
Li (0.7500, 0.5000, 0.0000)  4 Pb 2.57
Li (0.5000, 0.0000, 0.2500)  4 Pb 2.57
Li (0.5000, 0.0000, 0.7500)  4 Pb 2.57
Li (0.0000, 0.7500, 0.5000)  4 Pb 2.57
Li (0.0000, 0.2500, 0.5000)  4 Pb 2.57
Pb (0.0000, 0.5000, 0.7500)  4 Li 2.57
Pb (0.5000, 0.2500, 0.0000)  4 Li 2.57
Pb (0.0000, 0.5000, 0.2500)  4 Li 2.57
Pb (0.7500, 0.0000, 0.5000)  4 Li 2.57
Pb (0.2500, 0.0000, 0.5000)  4 Li 2.57
Pb (0.5000, 0.7500, 0.0000)  4 Li 2.57

---

Record 4
Density functional theory data (GGA-PBE) for LiNd2Pb8 after structural relaxation.

- space group = P4/mmm, No. 123

Unit cell a=4.8635 b=4.8635 c=13.6428 alpha=90.00 beta=90.00 gamma=90.00
Closest atoms and distances in Å follow each position.
Atoms (fractional coordinates):
Nd (0.0000, 0.0000, 0.3205)  12 Pb 3.44-3.58
Nd (0.0000, 0.0000, 0.6795)  12 Pb 3.44-3.58
Pb (0.5000, 0.5000, 0.3062)  8 Pb 3.44-3.59, 4 Nd 3.44
Pb (0.5000, 0.0000, 0.8724)  2 Li 2.99
Pb (0.0000, 0.5000, 0.8724)  2 Li 2.99
Pb (0.0000, 0.5000, 0.5000)  8 Pb 3.44-3.59, 4 Nd 3.45
Pb (0.5000, 0.0000, 0.5000)  8 Pb 3.44-3.59, 4 Nd 3.45
Pb (0.0000, 0.5000, 0.1276)  2 Li 2.99
Pb (0.5000, 0.5000, 0.6938)  8 Pb 3.44-3.59, 4 Nd 3.44
Pb (0.5000, 0.0000, 0.1276)  2 Li 2.99
Li (0.0000, 0.0000, 0.0000)  8 Pb 2.99

---

Record 5
Density functional theory data (GGA-PBE) for LiNd2Pb3 after structural relaxation.

- space group = Immm, No. 71

Unit cell a=3.6388 b=5.6245 c=9.4834 alpha=107.25 beta=101.06 gamma=90.00
Closest atoms and distances in Å follow each position.
Atoms (fractional coordinates):
Pb (0.0000, 0.5000, 0.0000)  2 Li 2.81
Pb (0.1622, 0.1622, 0.3244)  1 Li 2.88
Pb (0.8378, 0.8378, 0.6756)  1 Li 2.88
Li (0.0000, 0.0000, 0.0000)  4 Pb 2.81-2.88
Nd (0.3442, 0.3442, 0.6885)  7 Pb 3.23-3.35
Nd (0.6558, 0.6558, 0.3115)  7 Pb 3.23-3.35

---

Record 6
Density functional theory data (GGA-PBE) for LiNdPb5 after structural relaxation.

- space group = P4/mmm, No. 123

Unit cell a=4.7675 b=4.7676 c=8.9096 alpha=90.00 beta=90.00 gamma=90.00
Closest atoms and distances in Å follow each position.
Atoms (fractional coordinates):
Pb (0.5000, 0.5000, 0.5000)  4 Nd 3.37, 8 Pb 3.54
Pb (0.5000, 0.0000, 0.2062)  2 Li 3.01
Pb (0.0000, 0.5000, 0.2062)  2 Li 3.01
Pb (0.5000, 0.0000, 0.7938)  2 Li 3.01
Pb (0.0000, 0.5000, 0.7938)  2 Li 3.01
Li (0.5000, 0.5000, 0.0000)  8 Pb 3.01
Nd (0.0000, 0.0000, 0.5000)  12 Pb 3.37-3.54

---

Respective formation energy from the elements values: -0.25, -0.31, 0.15, -0.29, -0.32, -0.24 eV per atom.